No. 1
Below is a crystal of Gd3SnC relaxed with PBEsol, with properties calculated at the meta-GGA SCAN level.

Properties
final energy	-45.161	eV per atom

Unit cell a=4.879 b=4.879 c=4.879 alpha=90.00 beta=90.00 gamma=90.00
Atoms (fractional coordinates):
Gd1 0.500 0.000 0.000
Gd2 0.000 0.500 0.000
Gd3 0.000 0.000 0.500
Sn1 0.500 0.500 0.500
C1 0.000 0.000 0.000


No. 2
Below is a crystal of Gd3TlC relaxed with PBEsol, with properties calculated at the meta-GGA SCAN level.

Properties
final energy	-52.294	eV per atom

Unit cell a=4.904 b=4.904 c=4.904 alpha=90.00 beta=90.00 gamma=90.00
Atoms (fractional coordinates):
Gd1 0.500 0.000 0.000
Gd2 0.000 0.500 0.000
Gd3 0.000 0.000 0.500
Tl1 0.500 0.500 0.500
C1 0.000 0.000 0.000


No. 3
Below is a crystal of GeC relaxed with PBEsol, with properties calculated at the meta-GGA SCAN level.

Properties
final energy	-13.235	eV per atom

Unit cell a=3.073 b=3.073 c=3.073 alpha=60.00 beta=60.00 gamma=60.00
Atoms (fractional coordinates):
Ge1 0.000 0.000 0.000
C1 0.500 0.500 0.500